The following is a PBE+U calculation of a relaxed Li2MnPbF6 crystal, from Alexandria via LeMat-Bulk.

Lattice parameters (Å, degrees): 5.5160 5.5160 14.5257 90.00 90.00 120.00
Space group R3 (No. 146, hexagonal axes)
Unique sites:
Li 0.0000 0.0000 0.0000 (multiplicity 3)
Li 0.0000 0.0000 0.4970 (multiplicity 3)
Mn 0.0000 0.0000 0.7076 (multiplicity 3)
Pb 0.0000 0.0000 0.2237 (multiplicity 3)
F 0.0073 0.3638 0.7651 (multiplicity 9)
F 0.0164 0.5807 0.2693 (multiplicity 9)

Output
DFT total energy, Ry per atom: -0.3885
DOS at the Fermi energy, states/eV per cell: 0.00
Density, Mg/m³: 5.1